Record 1
First-principles (PBE) data for a relaxed structure of La2TbHgO6, as listed in OQMD.

Values from the calculation:
**Uncorrected energy**: -6.914 eV/atom

a = 5.900 Å, b = 5.900 Å, c = 5.900 Å
α = 62.32°, β = 62.32°, γ = 62.32°
Sites, in units of the cell vectors:
La: 0.249 0.249 0.249
La: 0.751 0.751 0.751
Tb: 0.500 0.500 0.500
Hg: 0.000 0.000 0.000
O: 0.131 0.742 0.376
O: 0.258 0.624 0.869
O: 0.376 0.131 0.742
O: 0.624 0.869 0.258
O: 0.742 0.376 0.131
O: 0.869 0.258 0.624

Record 2
First-principles (PBE) data for a relaxed structure of LaPaHg, as listed in OQMD.

Values from the calculation:
**Uncorrected energy**: -4.463 eV/atom
**Calculated formation energy**: 43 kJ/mol of atoms

a = 5.188 Å, b = 5.188 Å, c = 5.188 Å
α = 60.00°, β = 60.00°, γ = 60.00°
Sites, in units of the cell vectors:
La: 0.000 0.000 0.000
Pa: 0.500 0.500 0.500
Hg: 0.250 0.250 0.250

Record 3
First-principles (PBE) data for a relaxed structure of La2Hg4PdPt, as listed in OQMD.

Values from the calculation:
**Uncorrected energy**: -3.413 eV/atom
**Calculated formation energy**: -61 kJ/mol of atoms

a = 8.667 Å, b = 5.552 Å, c = 5.552 Å
α = 45.54°, β = 90.00°, γ = 90.00°
Sites, in units of the cell vectors:
La: 0.000 0.000 0.000
La: 0.500 0.136 0.136
Hg: 0.204 0.711 0.711
Hg: 0.300 0.430 0.430
Hg: 0.700 0.430 0.430
Hg: 0.796 0.711 0.711
Pd: 0.500 0.847 0.847
Pt: 0.000 0.293 0.293

Record 4
First-principles (PBE) data for a relaxed structure of LaPmHg, as listed in OQMD.

Values from the calculation:
**Energy above the most stable polymorph in this dataset**: 0 meV/atom
**Uncorrected energy**: -3.437 eV/atom
**Calculated formation energy**: -11 kJ/mol of atoms

a = 5.276 Å, b = 5.276 Å, c = 5.276 Å
α = 60.00°, β = 60.00°, γ = 60.00°
Sites, in units of the cell vectors:
La: 0.000 0.000 0.000
Pm: 0.500 0.500 0.500
Hg: 0.250 0.250 0.250